Ac2LaTh | GGA-PBE | optimized geometry

The value obtained for the energy is -4.894 eV/atom. The value obtained for the formation energy is 0.247 eV/atom. For the relative energy among the computed polymorphs, the calculation gives 0.158 eV per atom.

abc: 8.579 8.579 8.579
angles: 90.00 90.00 90.00
Space group Fm-3m (No. 225)
One atom of each set of equivalent atoms:
Ac  0.250  0.250  0.250 [8 per cell]
La  0.000  0.000  0.000 [4 per cell]
Th  0.000  0.000  0.500 [4 per cell]